(1)
Material: AsHBr4
Method: DFT, PBE-GGA
State: optimized geometry

Cell: 6.887 7.336 9.720 Å, 99.63 98.89 93.69°
Positions (direct):
1 As 0.053 0.224 0.388
2 As 0.947 0.776 0.612
3 H 0.492 0.208 0.166
4 H 0.508 0.792 0.834
5 Br 0.186 0.039 0.203
6 Br 0.211 0.520 0.379
7 Br 0.261 0.152 0.590
8 Br 0.335 0.707 0.875
9 Br 0.665 0.293 0.125
10 Br 0.739 0.848 0.410
11 Br 0.789 0.480 0.621
12 Br 0.814 0.961 0.797

The value obtained for the density is 2.76 Mg/m³. As for the uncorrected energy: -2.824 eV per atom. Its space-group type is P-1, No. 2.

***

(2)
Material: As2HBr2
Method: DFT, PBE-GGA
State: optimized geometry

Cell: 8.940 8.940 5.126 Å, 90.00 90.00 90.00°
Positions (direct):
1 As 0.091 0.409 0.000
2 As 0.409 0.909 0.000
3 As 0.591 0.091 0.000
4 As 0.909 0.591 0.000
5 H 0.000 0.000 0.500
6 H 0.500 0.500 0.500
7 Br 0.143 0.357 0.500
8 Br 0.357 0.857 0.500
9 Br 0.643 0.143 0.500
10 Br 0.857 0.643 0.500

The value obtained for the density is 2.52 Mg/m³. The energy above the most stable polymorph in this dataset is 0.0 meV/atom. Its space-group type is P4/mbm, No. 127.

***

no.,V (Å³/f.u.),N(E_F) (states/eV per cell)
1,238.12,0.00
2,204.83,0.00